1.
## BIrF3 (PBE-GGA)

Data for a relaxed BIrF3 crystal.

abc: 3.825 3.825 3.825
angles: 90.00 90.00 90.00
Fractional coordinates of all 5 atoms:
B1 0.000 0.000 0.000
Ir1 0.500 0.500 0.500
F1 0.000 0.000 0.500
F2 0.000 0.500 0.000
F3 0.500 0.000 0.000

Values from the calculation:
The value obtained for the final energy is -3.876 eV per atom. As for the space group: Pm-3m. As for the energy relative to the elements, uncorrected: 355 meV per atom.



2.
## KBIrF2 (PBE-GGA)

Data for a relaxed KBIrF2 crystal.

abc: 4.546 4.546 4.000
angles: 90.00 90.00 90.00
Fractional coordinates of all 5 atoms:
K1 0.000 0.000 0.000
B1 0.500 0.500 0.000
Ir1 0.500 0.500 0.500
F1 0.000 0.500 0.500
F2 0.500 0.000 0.500

Values from the calculation:
The value obtained for the final energy is -4.759 eV per atom. As for the space group: P4/mmm. As for the energy relative to the elements, uncorrected: -684 meV per atom.